A geometry-optimized CaAsNF2 structure. Source: Alexandria, functional PBE-GGA.

```
5
Lattice="4.340 0.000 0.000 0.000 4.340 0.000 0.000 0.000 4.016" Properties=species:S:1:pos:R:3 pbc="T T T"
Ca 0.000 0.000 0.000
As 2.170 2.170 2.008
N 2.170 2.170 0.000
F 0.000 2.170 2.008
F 2.170 0.000 2.008
```

* total DFT energy (no corrections): -4.952 eV/atom
* excess energy over the best structure of this formula in the dataset: 0.000 eV per atom
* volume: 75.6 Å³/cell
* raw formation energy: -1.208 eV/atom